This record from Alexandria via LeMat-Bulk describes crystalline Pa2TeBr8 at its relaxed geometry. The functional is GGA-PBE.

volume: 544 Å³ per cell
formation energy without anion corrections: -1.302 eV/atom

a b c (Å): 7.890 7.890 9.329
angles (deg): 91.42 91.42 110.45
Positions (direct):
Br (0.905, 0.316, 0.707)
Br (0.183, 0.183, 0.413)
Br (0.817, 0.817, 0.587)
Br (0.684, 0.095, 0.293)
Br (0.095, 0.684, 0.293)
Br (0.316, 0.905, 0.707)
Br (0.593, 0.593, 0.206)
Br (0.407, 0.407, 0.794)
Te (0.000, 0.000, 0.000)
Pa (0.120, 0.120, 0.714)
Pa (0.880, 0.880, 0.286)

---

This record from Alexandria via LeMat-Bulk describes crystalline Na3YPb at its relaxed geometry. The functional is GGA-PBE.

volume: 224 Å³ per cell
calculated formation energy: 985.8 meV/atom

a b c (Å): 6.070 6.070 6.070
angles (deg): 90.00 90.00 90.00
Last column: magnetic moment on the atom in μB.
Positions (direct):
Pb (0.500, 0.500, 0.500)  -0.06
Na (0.000, 0.000, 0.500)  0.03
Na (0.000, 0.500, 0.000)  0.03
Na (0.500, 0.000, 0.000)  0.02
Y (0.000, 0.000, 0.000)  0.58

---

This record from Alexandria via LeMat-Bulk describes crystalline NaGaP3 at its relaxed geometry. The functional is GGA-PBE.

volume: 111 Å³ per cell
calculated formation energy: 613.3 meV/atom

a b c (Å): 4.812 4.812 4.812
angles (deg): 90.00 90.00 90.00
Positions (direct):
Ga (0.000, 0.000, 0.000)
P (0.500, 0.000, 0.000)
P (0.000, 0.000, 0.500)
P (0.000, 0.500, 0.000)
Na (0.500, 0.500, 0.500)

---

This record from Alexandria via LeMat-Bulk describes crystalline TiV2GeN at its relaxed geometry. The functional is GGA-PBE.

volume: 64 Å³ per cell
formation energy without anion corrections: -0.692 eV/atom

a b c (Å): 3.885 3.885 4.235
angles (deg): 90.00 90.00 90.00
Positions (direct):
V (0.500, 0.000, 0.000)
N (0.000, 0.000, 0.000)
Ti (0.000, 0.000, 0.500)
Ge (0.500, 0.500, 0.500)
V (0.000, 0.500, 0.000)

---

This record from Alexandria via LeMat-Bulk describes crystalline ZnRe2Hg at its relaxed geometry. The functional is GGA-PBE.

volume: 65 Å³ per cell
calculated formation energy: 837.6 meV/atom

a b c (Å): 5.185 5.185 2.760
angles (deg): 90.00 90.00 118.24
Positions (direct):
Hg (0.000, 0.500, 0.500)
Zn (0.500, 0.000, 0.500)
Re (0.500, 0.500, 0.000)
Re (0.000, 0.000, 0.000)

---

This record from Alexandria via LeMat-Bulk describes crystalline LiCaAg2Cl5 at its relaxed geometry. The functional is GGA-PBE.

volume: 492 Å³ per cell
formation energy without anion corrections: -1.363 eV/atom

a b c (Å): 4.051 8.973 13.879
angles (deg): 90.00 90.00 103.05
Positions (direct):
Ag (0.068, 0.136, 0.663)
Cl (0.127, 0.253, 0.000)
Li (0.432, 0.863, 0.458)
Cl (0.443, 0.886, 0.033)
Ag (0.931, 0.862, 0.831)
Cl (0.781, 0.562, 0.150)
Ca (0.281, 0.563, 0.018)
Cl (0.557, 0.114, 0.533)
Ca (0.719, 0.437, 0.518)
Cl (0.873, 0.747, 0.500)
Ag (0.069, 0.138, 0.331)
Cl (0.219, 0.438, 0.650)
Cl (0.520, 0.041, 0.791)
Cl (0.480, 0.959, 0.291)
Cl (0.795, 0.589, 0.881)
Ag (0.932, 0.864, 0.163)
Li (0.568, 0.137, 0.958)
Cl (0.205, 0.411, 0.381)

---

Q: Which value of volume does entry 1 give?
A: 544 Å³ per cell